Entry 1:
4
Lattice="-1.505 2.338 5.992 1.505 -2.338 5.992 1.505 2.338 -5.992" Properties=species:S:1:pos:R:3 comment="Cd2CoCl, relaxed, DFT PBE" crystal_system=orthorhombic sg="No. 44" e_form_raw_ev_per_atom=0.022 rho_g_cm3=6.286 pbc="T T T"
Cd 0.000 0.000 0.000
Cd 0.000 2.338 1.946
Co 0.000 0.000 5.687
Cl 1.505 0.000 3.893

Entry 2:
14
Lattice="5.047 -4.938 0.000 5.047 4.938 0.000 -4.561 0.000 8.353" Properties=species:S:1:pos:R:3 comment="CdCoCl5, relaxed, DFT PBE" crystal_system=monoclinic sg="No. 15" e_form_raw_ev_per_atom=-0.691 rho_g_cm3=2.781 pbc="T T T"
Cd 0.000 0.000 0.000
Cd -2.281 0.000 4.177
Co 1.625 1.051 6.265
Co 3.906 -1.051 2.088
Cl 3.906 4.050 2.088
Cl 2.335 2.241 4.583
Cl 2.347 0.312 1.388
Cl 0.916 2.241 7.946
Cl 0.066 -0.312 5.565
Cl 5.466 0.312 2.788
Cl 4.615 -2.241 0.407
Cl 3.185 -0.312 6.965
Cl 3.197 -2.241 3.770
Cl 1.625 -4.050 6.265

Entry 3:
4
Lattice="-1.884 1.884 4.694 1.884 -1.884 4.694 1.884 1.884 -4.694" Properties=species:S:1:pos:R:3 comment="CdCo2Cl, relaxed, DFT PBE" crystal_system=tetragonal sg="No. 139" e_form_raw_ev_per_atom=0.733 rho_g_cm3=6.621 pbc="T T T"
Cd 0.000 0.000 0.000
Co 1.884 0.000 2.347
Co 0.000 1.884 2.347
Cl 0.000 0.000 4.694